Compound: TaH2Pd
Source: the Alexandria database
Functional: PBE
Structure: relaxed

Unit cell a=3.8230 b=3.8230 c=3.8230 alpha=60.00 beta=60.00 gamma=60.00
Closest atoms and distances in Å follow each position.
Fractional coordinates of all 4 atoms:
H  0.2500  0.2500  0.2500  4 Ta 2.34, 4 Pd 2.34
H  0.7500  0.7500  0.7500  4 Ta 2.34, 4 Pd 2.34
Pd  0.0000  0.0000  0.0000  8 H 2.34
Ta  0.5000  0.5000  0.5000  8 H 2.34

Calculated values
total DFT energy (no corrections)	-5.6147	eV per atom
density of states at the Fermi level	0.30	states/eV/atom
excess energy over the best structure of this formula in the dataset	426.2	meV/atom
space-group type	Fm-3m, No. 225

Compound: Ta2HPd
Source: the Alexandria database
Functional: PBE
Structure: relaxed

Unit cell a=6.3905 b=6.3905 c=5.2807 alpha=52.77 beta=52.77 gamma=90.00
Closest atoms and distances in Å follow each position.
Fractional coordinates of all 8 atoms:
H  0.5000  0.5000  0.0000  4 Ta 2.00
H  0.2500  0.7500  0.5000  4 Ta 2.00
Pd  0.0000  0.0000  0.0000  2 H 2.73, 8 Ta 2.78-2.80
Pd  0.7500  0.2500  0.5000  2 H 2.73, 8 Ta 2.78-2.80
Ta  0.5305  0.1250  0.2500  2 H 2.00
Ta  0.2195  0.6250  0.2500  2 H 2.00
Ta  0.3750  0.4695  0.7500  2 H 2.00
Ta  0.8750  0.7805  0.7500  2 H 2.00

Calculated values
total DFT energy (no corrections)	-8.0010	eV per atom
density of states at the Fermi level	1.02	states/eV/atom
excess energy over the best structure of this formula in the dataset	200.7	meV/atom
space-group type	I-42d, No. 122

Compound: TaHPd2
Source: the Alexandria database
Functional: PBE
Structure: relaxed

Unit cell a=4.3382 b=4.3382 c=4.3382 alpha=60.00 beta=60.00 gamma=60.00
Closest atoms and distances in Å follow each position.
Fractional coordinates of all 4 atoms:
H  0.0000  0.0000  0.0000  8 Pd 2.66
Pd  0.2500  0.2500  0.2500  4 Ta 2.66, 4 H 2.66
Pd  0.7500  0.7500  0.7500  4 Ta 2.66, 4 H 2.66
Ta  0.5000  0.5000  0.5000  8 Pd 2.66

Calculated values
total DFT energy (no corrections)	-5.9802	eV per atom
density of states at the Fermi level	0.65	states/eV/atom
excess energy over the best structure of this formula in the dataset	410.0	meV/atom
space-group type	Fm-3m, No. 225

Compound: Ta2HPd
Source: the Alexandria database
Functional: PBE
Structure: relaxed

Unit cell a=2.9287 b=2.9287 c=7.3983 alpha=78.58 beta=78.58 gamma=60.00
Closest atoms and distances in Å follow each position.
Fractional coordinates of all 4 atoms:
Ta  0.0616  0.0616  0.8151  3 H 2.15
Ta  0.2718  0.2718  0.1847  3 H 2.16
H  0.6671  0.6671  0.9986  6 Ta 2.15-2.16
Pd  0.4995  0.4995  0.5016  6 Ta 2.82-2.84, 6 Pd 2.93

Calculated values
total DFT energy (no corrections)	-8.2018	eV per atom
density of states at the Fermi level	0.57	states/eV/atom
excess energy over the best structure of this formula in the dataset	0.0	meV/atom
space-group type	R3m, No. 160